[1]
A relaxed Hg3Te5Se12 crystal. Source: Alexandria, functional PBE-GGA.

Cell and atoms, written as CIF:
```
data_Hg3Te5Se12
_symmetry_space_group_name_H-M 'I a -3 d'
_symmetry_Int_Tables_number 230
_symmetry_space_group_name_Hall '-I 4bd 2c 3'
_cell_length_a 17.4710
_cell_length_b 17.4710
_cell_length_c 17.4710
_cell_angle_alpha 90.00
_cell_angle_beta 90.00
_cell_angle_gamma 90.00
loop_
_atom_site_label
_atom_site_type_symbol
_atom_site_fract_x
_atom_site_fract_y
_atom_site_fract_z
Hg1 Hg 0.0000 0.2500 0.1250
Te1 Te 0.0000 0.0000 0.0000
Te2 Te 0.0000 0.2500 0.3750
Se1 Se 0.0013 0.0348 0.1580
```

Output
As for the total magnetic moment: 0.000 μB/f.u. The calculation puts the energy at -0.2016 Ry per atom. The raw formation energy comes out at 0.179 eV/atom.

---

[2]
A relaxed CsPu2Se2S crystal. Source: Alexandria, functional PBE-GGA.

Cell and atoms, written as CIF:
```
data_CsPu2Se2S
_symmetry_space_group_name_H-M 'P 4/m m m'
_symmetry_Int_Tables_number 123
_symmetry_space_group_name_Hall '-P 4 2'
_cell_length_a 5.2172
_cell_length_b 5.2172
_cell_length_c 7.8922
_cell_angle_alpha 90.00
_cell_angle_beta 90.00
_cell_angle_gamma 90.00
loop_
_atom_site_label
_atom_site_type_symbol
_atom_site_fract_x
_atom_site_fract_y
_atom_site_fract_z
Cs1 Cs 0.0000 0.0000 0.0000
Pu1 Pu 0.0000 0.5000 0.5000
Se1 Se 0.5000 0.5000 0.2798
S1 S 0.0000 0.0000 0.5000
```

Output
As for the total magnetic moment: 10.980 μB/f.u. The calculation puts the energy at -0.5939 Ry per atom. The raw formation energy comes out at -1.312 eV/atom.

---

[3]
A relaxed Zr2AlGeAs crystal. Source: Alexandria, functional PBE-GGA.

Cell and atoms, written as CIF:
```
data_Zr2AlGeAs
_symmetry_space_group_name_H-M 'P 4/m m m'
_symmetry_Int_Tables_number 123
_symmetry_space_group_name_Hall '-P 4 2'
_cell_length_a 5.1287
_cell_length_b 5.1287
_cell_length_c 4.5195
_cell_angle_alpha 90.00
_cell_angle_beta 90.00
_cell_angle_gamma 90.00
loop_
_atom_site_label
_atom_site_type_symbol
_atom_site_fract_x
_atom_site_fract_y
_atom_site_fract_z
Zr1 Zr 0.0000 0.5000 0.0000
Al1 Al 0.0000 0.0000 0.0000
Ge1 Ge 0.5000 0.5000 0.5000
As1 As 0.0000 0.0000 0.5000
```

Output
As for the total magnetic moment: 0.000 μB/f.u. The calculation puts the energy at -0.4000 Ry per atom. As for the formation energy: 0.580 eV per atom.

---

[4]
A relaxed PmHgTe crystal. Source: Alexandria, functional PBE-GGA.

Cell and atoms, written as CIF:
```
data_PmHgTe
_symmetry_space_group_name_H-M 'P 4/n m m'
_symmetry_Int_Tables_number 129
_cell_length_a 4.4285
_cell_length_b 4.4285
_cell_length_c 8.9275
_cell_angle_alpha 90.00
_cell_angle_beta 90.00
_cell_angle_gamma 90.00
loop_
_symmetry_equiv_pos_as_xyz
'x,y,z'
'-x,-y,-z'
'-y+1/2,x,z'
'y+1/2,-x,-z'
'-x+1/2,-y+1/2,z'
'x+1/2,y+1/2,-z'
'y,-x+1/2,z'
'-y,x+1/2,-z'
'x+1/2,-y,-z'
'-x+1/2,y,z'
'-y,-x,-z'
'y,x,z'
'-x,y+1/2,-z'
'x,-y+1/2,z'
'y+1/2,x+1/2,-z'
'-y+1/2,-x+1/2,z'
loop_
_atom_site_label
_atom_site_type_symbol
_atom_site_fract_x
_atom_site_fract_y
_atom_site_fract_z
Pm1 Pm 0.2500 0.2500 0.2061
Hg1 Hg 0.2500 0.7500 0.5000
Te1 Te 0.2500 0.2500 0.8463
```

Output
As for the total magnetic moment: 0.000 μB/f.u. The value obtained for the energy above the most stable polymorph in this dataset is 0.0 kJ per mole of atoms. The calculation puts the energy at -0.2691 Ry per atom. The raw formation energy comes out at -0.930 eV/atom.

---

[5]
A relaxed YSi2Ge2 crystal. Source: Alexandria, functional PBE-GGA.

Cell and atoms, written as CIF:
```
data_YSi2Ge2
_symmetry_space_group_name_H-M 'P 4/m b m'
_symmetry_Int_Tables_number 127
_symmetry_space_group_name_Hall '-P 4 2ab'
_cell_length_a 7.2741
_cell_length_b 7.2741
_cell_length_c 3.6593
_cell_angle_alpha 90.00
_cell_angle_beta 90.00
_cell_angle_gamma 90.00
loop_
_atom_site_label
_atom_site_type_symbol
_atom_site_fract_x
_atom_site_fract_y
_atom_site_fract_z
Y1 Y 0.0000 0.0000 0.0000
Si1 Si 0.1174 0.3826 0.0000
Ge1 Ge 0.1653 0.6653 0.5000
```

Output
As for the total magnetic moment: 0.000 μB/f.u. The value obtained for the energy above the most stable polymorph in this dataset is 0.0 kJ per mole of atoms. The calculation puts the energy at -0.3944 Ry per atom. The raw formation energy comes out at -0.057 eV/atom.

---

[6]
A relaxed P2HAuS crystal. Source: Alexandria, functional PBE-GGA.

Cell and atoms, written as CIF:
```
data_P2HAuS
_symmetry_space_group_name_H-M 'P 4/m m m'
_symmetry_Int_Tables_number 123
_symmetry_space_group_name_Hall '-P 4 2'
_cell_length_a 3.5114
_cell_length_b 3.5114
_cell_length_c 7.8586
_cell_angle_alpha 90.00
_cell_angle_beta 90.00
_cell_angle_gamma 90.00
loop_
_atom_site_label
_atom_site_type_symbol
_atom_site_fract_x
_atom_site_fract_y
_atom_site_fract_z
P1 P 0.0000 0.5000 0.0000
H1 H 0.0000 0.0000 0.0000
Au1 Au 0.5000 0.5000 0.5000
S1 S 0.0000 0.0000 0.5000
```

Output
As for the total magnetic moment: 0.000 μB/f.u. The value obtained for the energy above the most stable polymorph in this dataset is 0.0 kJ per mole of atoms. The calculation puts the energy at -0.2647 Ry per atom.

---

[7]
A relaxed Mg3CdF crystal. Source: Alexandria, functional PBE-GGA.

Cell and atoms, written as CIF:
```
data_Mg3CdF
_symmetry_space_group_name_H-M 'P m -3 m'
_symmetry_Int_Tables_number 221
_symmetry_space_group_name_Hall '-P 4 2 3'
_cell_length_a 4.5617
_cell_length_b 4.5617
_cell_length_c 4.5617
_cell_angle_alpha 90.00
_cell_angle_beta 90.00
_cell_angle_gamma 90.00
loop_
_atom_site_label
_atom_site_type_symbol
_atom_site_fract_x
_atom_site_fract_y
_atom_site_fract_z
Mg1 Mg 0.0000 0.0000 0.5000
Cd1 Cd 0.5000 0.5000 0.5000
F1 F 0.0000 0.0000 0.0000
```

Output
As for the total magnetic moment: 0.000 μB/f.u. The value obtained for the energy above the most stable polymorph in this dataset is 0.0 kJ per mole of atoms. The calculation puts the energy at -0.1693 Ry per atom. The raw formation energy comes out at -0.789 eV/atom.

---

[8]
A relaxed Ac2PuGe3 crystal. Source: Alexandria, functional PBE-GGA.

Cell and atoms, written as CIF:
```
data_Ac2PuGe3
_symmetry_space_group_name_H-M 'C 1 2/c 1'
_symmetry_Int_Tables_number 15
_symmetry_space_group_name_Hall '-C 2yc'
_cell_length_a 12.5770
_cell_length_b 6.2536
_cell_length_c 10.1041
_cell_angle_alpha 90.00
_cell_angle_beta 113.68
_cell_angle_gamma 90.00
loop_
_atom_site_label
_atom_site_type_symbol
_atom_site_fract_x
_atom_site_fract_y
_atom_site_fract_z
Ac1 Ac 0.1778 0.0010 0.0889
Pu1 Pu 0.0000 0.4988 0.2500
Ge1 Ge 0.0000 0.0020 0.7500
Ge2 Ge 0.1235 0.4988 0.5617
```

Output
As for the total magnetic moment: 5.115 μB/f.u. The calculation puts the energy at -0.4777 Ry per atom. As for the formation energy: -0.433 eV per atom.

---

[9]
A relaxed BaAs2Pt crystal. Source: Alexandria, functional PBE-GGA.

Cell and atoms, written as CIF:
```
data_BaAs2Pt
_symmetry_space_group_name_H-M 'P 4/m m m'
_symmetry_Int_Tables_number 123
_symmetry_space_group_name_Hall '-P 4 2'
_cell_length_a 4.5569
_cell_length_b 4.5569
_cell_length_c 4.5460
_cell_angle_alpha 90.00
_cell_angle_beta 90.00
_cell_angle_gamma 90.00
loop_
_atom_site_label
_atom_site_type_symbol
_atom_site_fract_x
_atom_site_fract_y
_atom_site_fract_z
Ba1 Ba 0.0000 0.0000 0.0000
As1 As 0.0000 0.5000 0.5000
Pt1 Pt 0.5000 0.5000 0.0000
```

Output
As for the total magnetic moment: 0.000 μB/f.u. The calculation puts the energy at -0.3238 Ry per atom. As for the formation energy: -0.089 eV per atom.

---

[10]
A relaxed PmSeCl crystal. Source: Alexandria, functional PBE-GGA.

Cell and atoms, written as CIF:
```
data_PmSeCl
_symmetry_space_group_name_H-M 'P 1 21/m 1'
_symmetry_Int_Tables_number 11
_symmetry_space_group_name_Hall '-P 2yb'
_cell_length_a 5.6692
_cell_length_b 4.4384
_cell_length_c 7.3190
_cell_angle_alpha 90.00
_cell_angle_beta 109.05
_cell_angle_gamma 90.00
loop_
_atom_site_label
_atom_site_type_symbol
_atom_site_fract_x
_atom_site_fract_y
_atom_site_fract_z
Pm1 Pm 0.1640 0.2500 0.2999
Se1 Se 0.2792 0.7500 0.5759
Cl1 Cl 0.2364 0.7500 0.0641
```

Output
As for the total magnetic moment: 0.000 μB/f.u. The value obtained for the energy above the most stable polymorph in this dataset is 0.0 kJ per mole of atoms. The calculation puts the energy at -0.3993 Ry per atom. The raw formation energy comes out at -2.072 eV/atom.

---

[11]
A relaxed MnP2AuS crystal. Source: Alexandria, functional PBE-GGA.

Cell and atoms, written as CIF:
```
data_MnP2AuS
_symmetry_space_group_name_H-M 'P 4/m m m'
_symmetry_Int_Tables_number 123
_symmetry_space_group_name_Hall '-P 4 2'
_cell_length_a 4.4289
_cell_length_b 4.4289
_cell_length_c 4.4768
_cell_angle_alpha 90.00
_cell_angle_beta 90.00
_cell_angle_gamma 90.00
loop_
_atom_site_label
_atom_site_type_symbol
_atom_site_fract_x
_atom_site_fract_y
_atom_site_fract_z
Mn1 Mn 0.0000 0.0000 0.0000
P1 P 0.0000 0.5000 0.0000
Au1 Au 0.5000 0.5000 0.5000
S1 S 0.0000 0.0000 0.5000
```

Output
As for the total magnetic moment: 1.542 μB/f.u. The value obtained for the energy above the most stable polymorph in this dataset is 0.0 kJ per mole of atoms. The calculation puts the energy at -0.3636 Ry per atom. The raw formation energy comes out at 0.532 eV/atom.

---

[12]
A relaxed KTcF3 crystal. Source: Alexandria, functional PBE-GGA.

Cell and atoms, written as CIF:
```
data_KTcF3
_symmetry_space_group_name_H-M 'P m -3 m'
_symmetry_Int_Tables_number 221
_symmetry_space_group_name_Hall '-P 4 2 3'
_cell_length_a 4.4129
_cell_length_b 4.4129
_cell_length_c 4.4129
_cell_angle_alpha 90.00
_cell_angle_beta 90.00
_cell_angle_gamma 90.00
loop_
_atom_site_label
_atom_site_type_symbol
_atom_site_fract_x
_atom_site_fract_y
_atom_site_fract_z
K1 K 0.0000 0.0000 0.0000
Tc1 Tc 0.5000 0.5000 0.5000
F1 F 0.0000 0.5000 0.5000
```

Output
As for the total magnetic moment: 3.529 μB/f.u. The value obtained for the energy above the most stable polymorph in this dataset is 0.0 kJ per mole of atoms. The calculation puts the energy at -0.3784 Ry per atom. The raw formation energy comes out at -1.733 eV/atom.

---

Question: What is the formula in the first record?
Answer: Hg3Te5Se12